Compound: Tb2HoPd3
Source: Alexandria
Functional: PBE
Structure: optimized geometry

Unit cell a=12.4945 b=5.9029 c=8.1017 alpha=90.00 beta=108.47 gamma=90.00
With the nearest neighbours (Å) after each atom.
Space group C2/c (No. 15)
Symmetry-distinct sites (fractional):
Tb1 0.1708 0.0273 0.0808 x8  6 Pd 2.87-2.99
Ho1 0.0000 0.3986 0.2500 x4  6 Pd 2.81-2.96
Pd1 0.0000 0.1033 0.7500 x4  4 Tb 2.88-2.98, 2 Ho 2.94-2.96
Pd2 0.1569 0.4671 0.5854 x8  2 Ho 2.81-2.83, 4 Tb 2.87-2.99

Energy relative to the elements in meV/atom: -742
Polymorph energy (0 for the lowest one) in meV per atom: 141